# 1
Computed, not measured: a geometry-optimized Fe3Cu structure at the GGA-PBE level of DFT.

Values from the calculation:
The calculation puts the uncorrected energy at -7.300 eV/atom. The value obtained for the volume is 11.77 Å³ per atom.

The structure in CIF format:
```
data_Fe3Cu
_space_group_name_H-M_alt 'C m m m'
_space_group_IT_number 65
_space_group_name_Hall '-C 2 2'
_cell_length_a 2.865
_cell_length_b 4.010
_cell_length_c 8.192
_cell_angle_alpha 90.00
_cell_angle_beta 90.00
_cell_angle_gamma 90.00
loop_
_atom_site_label
_atom_site_type_symbol
_atom_site_fract_x
_atom_site_fract_y
_atom_site_fract_z
Fe1 Fe 0.000 0.000 0.000
Fe2 Fe 0.000 0.500 0.247
Cu1 Cu 0.000 0.000 0.500
```

# 2
Computed, not measured: a geometry-optimized Fe2Cu structure at the GGA-PBE level of DFT.

Values from the calculation:
The calculation puts the uncorrected energy at -6.089 eV/atom. The value obtained for the volume is 14.59 Å³ per atom.

The structure in CIF format:
```
data_Fe2Cu
_space_group_name_H-M_alt 'P a -3'
_space_group_IT_number 205
_space_group_name_Hall '-P 2ac 2ab 3'
_cell_length_a 5.594
_cell_length_b 5.594
_cell_length_c 5.594
_cell_angle_alpha 90.00
_cell_angle_beta 90.00
_cell_angle_gamma 90.00
loop_
_atom_site_label
_atom_site_type_symbol
_atom_site_fract_x
_atom_site_fract_y
_atom_site_fract_z
Fe1 Fe 0.124 0.124 0.124
Cu1 Cu 0.000 0.000 0.500
```

# 3
Computed, not measured: a geometry-optimized FeCu structure at the GGA-PBE level of DFT.

Values from the calculation:
The calculation puts the uncorrected energy at -5.894 eV/atom. The value obtained for the volume is 12.81 Å³ per atom.

The structure in CIF format:
```
data_FeCu
_space_group_name_H-M_alt 'I 4/m m m'
_space_group_IT_number 139
_space_group_name_Hall '-I 4 2'
_cell_length_a 7.684
_cell_length_b 7.684
_cell_length_c 3.471
_cell_angle_alpha 90.00
_cell_angle_beta 90.00
_cell_angle_gamma 90.00
loop_
_atom_site_label
_atom_site_type_symbol
_atom_site_fract_x
_atom_site_fract_y
_atom_site_fract_z
Fe1 Fe 0.162 0.162 0.000
Cu1 Cu 0.000 0.331 0.500
```

# 4
Computed, not measured: a geometry-optimized Fe2Cu structure at the GGA-PBE level of DFT.

Values from the calculation:
The calculation puts the uncorrected energy at -6.880 eV/atom. The value obtained for the volume is 11.86 Å³ per atom.

The structure in CIF format:
```
data_Fe2Cu
_space_group_name_H-M_alt 'C m c m'
_space_group_IT_number 63
_space_group_name_Hall '-C 2c 2'
_cell_length_a 3.756
_cell_length_b 10.695
_cell_length_c 3.543
_cell_angle_alpha 90.00
_cell_angle_beta 90.00
_cell_angle_gamma 90.00
loop_
_atom_site_label
_atom_site_type_symbol
_atom_site_fract_x
_atom_site_fract_y
_atom_site_fract_z
Fe1 Fe 0.000 0.085 0.250
Fe2 Fe 0.000 0.248 0.750
Cu1 Cu 0.000 0.418 0.250
```

# 5
Computed, not measured: a geometry-optimized FeCu structure at the GGA-PBE level of DFT.

Values from the calculation:
The calculation puts the uncorrected energy at -6.132 eV/atom. The value obtained for the volume is 11.85 Å³ per atom.

The structure in CIF format:
```
data_FeCu
_space_group_name_H-M_alt 'R -3 m'
_space_group_IT_number 166
_space_group_name_Hall '-R 3 2"'
_cell_length_a 2.5272
_cell_length_b 2.5272
_cell_length_c 12.8525
_cell_angle_alpha 90.00
_cell_angle_beta 90.00
_cell_angle_gamma 120.00
loop_
_atom_site_label
_atom_site_type_symbol
_atom_site_fract_x
_atom_site_fract_y
_atom_site_fract_z
Fe1 Fe 0.0000 0.0000 0.0000
Cu1 Cu 0.0000 0.0000 0.5000
```

# 6
Computed, not measured: a geometry-optimized FeCu structure at the GGA-PBE level of DFT.

Values from the calculation:
The calculation puts the uncorrected energy at -5.494 eV/atom. The value obtained for the volume is 14.16 Å³ per atom.

The structure in CIF format:
```
data_FeCu
_space_group_name_H-M_alt 'F m -3 m'
_space_group_IT_number 225
_space_group_name_Hall '-F 4 2 3'
_cell_length_a 4.838
_cell_length_b 4.838
_cell_length_c 4.838
_cell_angle_alpha 90.00
_cell_angle_beta 90.00
_cell_angle_gamma 90.00
loop_
_atom_site_label
_atom_site_type_symbol
_atom_site_fract_x
_atom_site_fract_y
_atom_site_fract_z
Fe1 Fe 0.000 0.000 0.000
Cu1 Cu 0.000 0.000 0.500
```

# 7
Computed, not measured: a geometry-optimized Fe3Cu structure at the GGA-PBE level of DFT.

Values from the calculation:
The calculation puts the uncorrected energy at -7.239 eV/atom. The value obtained for the volume is 11.85 Å³ per atom.

The structure in CIF format:
```
data_Fe3Cu
_space_group_name_H-M_alt 'I 4/m m m'
_space_group_IT_number 139
_space_group_name_Hall '-I 4 2'
_cell_length_a 3.623
_cell_length_b 3.623
_cell_length_c 7.219
_cell_angle_alpha 90.00
_cell_angle_beta 90.00
_cell_angle_gamma 90.00
loop_
_atom_site_label
_atom_site_type_symbol
_atom_site_fract_x
_atom_site_fract_y
_atom_site_fract_z
Fe1 Fe 0.000 0.000 0.000
Fe2 Fe 0.000 0.500 0.250
Cu1 Cu 0.000 0.000 0.500
```

# 8
Computed, not measured: a geometry-optimized Fe4Cu3 structure at the GGA-PBE level of DFT.

Values from the calculation:
The calculation puts the uncorrected energy at -6.435 eV/atom. The calculation puts the offset from the most stable computed form at 0 meV per atom. The value obtained for the volume is 11.97 Å³ per atom.

The structure in CIF format:
```
data_Fe4Cu3
_space_group_name_H-M_alt 'I 4/m m m'
_space_group_IT_number 139
_space_group_name_Hall '-I 4 2'
_cell_length_a 2.946
_cell_length_b 2.946
_cell_length_c 19.302
_cell_angle_alpha 90.00
_cell_angle_beta 90.00
_cell_angle_gamma 90.00
loop_
_atom_site_label
_atom_site_type_symbol
_atom_site_fract_x
_atom_site_fract_y
_atom_site_fract_z
Fe1 Fe 0.000 0.000 0.074
Fe2 Fe 0.000 0.000 0.359
Cu1 Cu 0.000 0.000 0.215
Cu2 Cu 0.000 0.000 0.500
```

In order of appearance, energy of formation = 0.07, 0.92, 0.39, 0.13, 0.15, 0.79, 0.13, 0.16 eV/atom.